Entry 1:
# Li3PdCl

A relaxed structure of Li3PdCl (PBE, the Alexandria database).

The calculation puts the excess energy over the best structure of this formula in the dataset at 0.138 eV per atom.

The structure belongs to space group Pm-3m (No. 221); the cell edges are 4.797, 4.797 and 4.797 Å and the angles 90.00°, 90.00° and 90.00°. The asymmetric unit holds Li at (0.000, 0.000, 0.500), Pd at (0.000, 0.000, 0.000) and Cl at (0.500, 0.500, 0.500).

Entry 2:
# Li2PdCl4

A relaxed structure of Li2PdCl4 (PBE, the Alexandria database).

The calculation puts the excess energy over the best structure of this formula in the dataset at 0.107 eV per atom.

The structure belongs to space group I-42m (No. 121); the cell edges are 6.530, 6.530 and 7.131 Å and the angles 90.00°, 90.00° and 90.00°. The asymmetric unit holds Li at (0.000, 0.500, 0.250), Pd at (0.000, 0.000, 0.000) and Cl at (0.248, 0.248, 0.051).

Entry 3:
# Rb3LiPd2Cl9

A relaxed structure of Rb3LiPd2Cl9 (PBE, the Alexandria database).

The structure belongs to space group P-3m1 (No. 164); the cell edges are 7.1048, 7.1048 and 8.6927 Å and the angles 90.00°, 90.00° and 120.00°. The asymmetric unit holds Rb at (0.0000, 0.0000, 0.0000), Rb at (0.3333, 0.6667, 0.6570), Li at (0.0000, 0.0000, 0.5000), Pd at (0.3333, 0.6667, 0.1631), Cl at (0.0000, 0.5000, 0.0000) and Cl at (0.1696, 0.3392, 0.3235).

Entry 4:
# RbLiPdCl6

A relaxed structure of RbLiPdCl6 (PBE, the Alexandria database).

The structure belongs to space group P312 (No. 149); the cell edges are 6.4424, 6.4424 and 7.3704 Å and the angles 90.00°, 90.00° and 120.00°. The asymmetric unit holds Rb at (0.0000, 0.0000, 0.0000), Li at (0.3333, 0.6667, 0.5000), Pd at (0.6667, 0.3333, 0.5000) and Cl at (0.3797, 0.0246, 0.6843).

Entry 5:
# LiPdSCl2

A relaxed structure of LiPdSCl2 (PBE, the Alexandria database).

The calculation puts the excess energy over the best structure of this formula in the dataset at 0.554 eV per atom.

The structure belongs to space group P4/mmm (No. 123); the cell edges are 4.458, 4.458 and 4.815 Å and the angles 90.00°, 90.00° and 90.00°. The asymmetric unit holds Li at (0.000, 0.000, 0.000), Pd at (0.500, 0.500, 0.500), S at (0.000, 0.000, 0.500) and Cl at (0.000, 0.500, 0.000).

Entry 6:
# LiPd2SCl

A relaxed structure of LiPd2SCl (PBE, the Alexandria database).

The structure belongs to space group P4/mmm (No. 123); the cell edges are 4.624, 4.624 and 4.318 Å and the angles 90.00°, 90.00° and 90.00°. The asymmetric unit holds Li at (0.000, 0.000, 0.000), Pd at (0.000, 0.500, 0.500), S at (0.500, 0.500, 0.000) and Cl at (0.000, 0.000, 0.500).

Entry 7:
# LiPdS2Cl

A relaxed structure of LiPdS2Cl (PBE, the Alexandria database).

The calculation puts the excess energy over the best structure of this formula in the dataset at 0.000 eV per atom.

The structure belongs to space group P4/mmm (No. 123); the cell edges are 4.691, 4.691 and 5.123 Å and the angles 90.00°, 90.00° and 90.00°. The asymmetric unit holds Li at (0.000, 0.000, 0.000), Pd at (0.500, 0.500, 0.500), S at (0.000, 0.500, 0.500) and Cl at (0.500, 0.500, 0.000).

Entry 8:
# LiPdSCl2

A relaxed structure of LiPdSCl2 (PBE, the Alexandria database).

The calculation puts the excess energy over the best structure of this formula in the dataset at 0.000 eV per atom.

The structure belongs to space group P4/mmm (No. 123); the cell edges are 5.028, 5.028 and 4.616 Å and the angles 90.00°, 90.00° and 90.00°. The asymmetric unit holds Li at (0.000, 0.000, 0.000), Pd at (0.500, 0.500, 0.500), S at (0.500, 0.500, 0.000) and Cl at (0.000, 0.500, 0.500).

Entry 9:
# Li2SnPdCl

A relaxed structure of Li2SnPdCl (PBE, the Alexandria database).

The structure belongs to space group P4/mmm (No. 123); the cell edges are 4.891, 4.891 and 5.067 Å and the angles 90.00°, 90.00° and 90.00°. The asymmetric unit holds Li at (0.000, 0.500, 0.000), Sn at (0.000, 0.000, 0.500), Pd at (0.000, 0.000, 0.000) and Cl at (0.500, 0.500, 0.500).

Entry 10:
# Li2TlPdCl6

A relaxed structure of Li2TlPdCl6 (PBE, the Alexandria database).

The structure belongs to space group P-1 (No. 2); the cell edges are 6.277, 6.306 and 8.253 Å and the angles 89.21°, 67.95° and 62.92°. The asymmetric unit holds Li at (0.140, 0.172, 0.015), Tl at (0.500, 0.000, 0.500), Pd at (0.500, 0.500, 0.000), Cl at (0.046, 0.883, 0.193), Cl at (0.308, 0.444, 0.818) and Cl at (0.374, 0.247, 0.179).

Entry 11:
# Li2PmCl5

A relaxed structure of Li2PmCl5 (PBE, the Alexandria database).

The calculation puts the excess energy over the best structure of this formula in the dataset at 0.014 eV per atom.

The structure belongs to space group Cmcm (No. 63); the cell edges are 5.230, 12.480 and 13.427 Å and the angles 90.00°, 90.00° and 90.00°. The asymmetric unit holds Li at (0.000, 0.143, 0.031), Pm at (0.000, 0.198, 0.750), Cl at (0.000, 0.035, 0.621), Cl at (0.000, 0.242, 0.250) and Cl at (0.000, 0.313, 0.573).

Entry 12:
# Li2PmCl4

A relaxed structure of Li2PmCl4 (PBE, the Alexandria database).

The structure belongs to space group Imma (No. 74); the cell edges are 7.163, 8.075 and 11.404 Å and the angles 90.00°, 90.00° and 90.00°. The asymmetric unit holds Li at (0.000, 0.000, 0.000), Li at (0.000, 0.250, 0.372), Pm at (0.250, 0.250, 0.750), Cl at (0.000, 0.023, 0.232) and Cl at (0.240, 0.250, 0.994).

Entry 13:
# Li2PmCl6

A relaxed structure of Li2PmCl6 (PBE, the Alexandria database).

The structure belongs to space group C2/m (No. 12); the cell edges are 13.109, 4.278 and 9.425 Å and the angles 90.00°, 106.10° and 90.00°. The asymmetric unit holds Li at (0.210, 0.000, 0.157), Pm at (0.000, 0.000, 0.500), Cl at (0.056, 0.000, 0.251), Cl at (0.138, 0.500, 0.605) and Cl at (0.173, 0.500, 0.044).

Entry 14:
# LiPm2Cl6

A relaxed structure of LiPm2Cl6 (PBE, the Alexandria database).

The structure belongs to space group P2_1/c (No. 14); the cell edges are 6.592, 6.923 and 11.119 Å and the angles 90.00°, 117.45° and 90.00°. The asymmetric unit holds Li at (0.000, 0.000, 0.000), Pm at (0.334, 0.120, 0.775), Cl at (0.054, 0.059, 0.229), Cl at (0.260, 0.675, 0.089) and Cl at (0.371, 0.177, 0.057).

Entry 15:
# Li3PmCl6

A relaxed structure of Li3PmCl6 (PBE, the Alexandria database).

The calculation puts the excess energy over the best structure of this formula in the dataset at 0.000 eV per atom.

The structure belongs to space group R3 (No. 146, hexagonal axes); the cell edges are 6.6145, 6.6145 and 18.1359 Å and the angles 90.00°, 90.00° and 120.00°. The asymmetric unit holds Li at (0.0000, 0.0000, 0.0000), Li at (0.0000, 0.0000, 0.2010), Li at (0.0000, 0.0000, 0.7007), Pm at (0.0000, 0.0000, 0.5026), Cl at (0.0212, 0.6749, 0.2679) and Cl at (0.0364, 0.3522, 0.7653).

Entry 16:
# Li3PmCl6

A relaxed structure of Li3PmCl6 (PBE, the Alexandria database).

The calculation puts the excess energy over the best structure of this formula in the dataset at 0.083 eV per atom.

The structure belongs to space group Cmmm (No. 65); the cell edges are 8.459, 12.954 and 4.390 Å and the angles 90.00°, 90.00° and 90.00°. The asymmetric unit holds Li at (0.000, 0.000, 0.000), Li at (0.250, 0.250, 0.500), Pm at (0.000, 0.500, 0.000), Cl at (0.000, 0.362, 0.500) and Cl at (0.210, 0.125, 0.000).

Entry 17:
# LiPmCl2

A relaxed structure of LiPmCl2 (PBE, the Alexandria database).

The structure belongs to space group R-3m (No. 166, hexagonal axes); the cell edges are 3.8145, 3.8145 and 24.5939 Å and the angles 90.00°, 90.00° and 120.00°. The asymmetric unit holds Li at (0.0000, 0.0000, 0.0000), Pm at (0.0000, 0.0000, 0.5000) and Cl at (0.0000, 0.0000, 0.3898).

Entry 18:
# LiPmCl5

A relaxed structure of LiPmCl5 (PBE, the Alexandria database).

The structure belongs to space group C2/c (No. 15); the cell edges are 11.921, 8.771 and 8.879 Å and the angles 90.00°, 121.53° and 90.00°. The asymmetric unit holds Li at (0.000, 0.000, 0.000), Pm at (0.000, 0.436, 0.250), Cl at (0.000, 0.100, 0.250), Cl at (0.004, 0.319, 0.953) and Cl at (0.233, 0.041, 0.589).

Entry 19:
# Li2PmCl5

A relaxed structure of Li2PmCl5 (PBE, the Alexandria database).

The calculation puts the excess energy over the best structure of this formula in the dataset at 0.000 eV per atom.

The structure belongs to space group C2/c (No. 15); the cell edges are 12.870, 6.918 and 9.881 Å and the angles 90.00°, 113.35° and 90.00°. The asymmetric unit holds Li at (0.125, 0.030, 0.184), Pm at (0.000, 0.500, 0.000), Cl at (0.000, 0.319, 0.750), Cl at (0.082, 0.158, 0.446) and Cl at (0.205, 0.344, 0.160).

Entry 20:
# LiPmPuCl6

A relaxed structure of LiPmPuCl6 (PBE, the Alexandria database).

The structure belongs to space group P-31c (No. 163); the cell edges are 6.7953, 6.7953 and 12.5791 Å and the angles 90.00°, 90.00° and 120.00°. The asymmetric unit holds Li at (0.3333, 0.6667, 0.2500), Pm at (0.3333, 0.6667, 0.7500), Pu at (0.0000, 0.0000, 0.0000) and Cl at (0.0139, 0.3528, 0.1307).

Number 1: formation energy from raw total energies -0.46 eV per atom, electronic total energy -3.020 eV/atom. Number 2: formation energy from raw total energies -1.11 eV per atom, electronic total energy -3.453 eV/atom. Number 3: formation energy from raw total energies -1.22 eV per atom, electronic total energy -3.341 eV/atom. Number 4: formation energy from raw total energies -1.05 eV per atom, electronic total energy -3.180 eV/atom. Number 5: formation energy from raw total energies 0.13 eV per atom, electronic total energy -2.859 eV/atom. Number 6: formation energy from raw total energies 0.03 eV per atom, electronic total energy -3.623 eV/atom. Number 7: formation energy from raw total energies -0.12 eV per atom, electronic total energy -3.562 eV/atom. Number 8: formation energy from raw total energies -0.43 eV per atom, electronic total energy -3.413 eV/atom. Number 9: formation energy from raw total energies -0.42 eV per atom, electronic total energy -3.391 eV/atom. Number 10: formation energy from raw total energies -1.08 eV per atom, electronic total energy -3.328 eV/atom. Number 11: formation energy from raw total energies -2.00 eV per atom, electronic total energy -4.224 eV/atom. Number 12: formation energy from raw total energies -1.85 eV per atom, electronic total energy -4.132 eV/atom. Number 13: formation energy from raw total energies -1.66 eV per atom, electronic total energy -3.840 eV/atom. Number 14: formation energy from raw total energies -2.01 eV per atom, electronic total energy -4.513 eV/atom. Number 15: formation energy from raw total energies -1.97 eV per atom, electronic total energy -4.129 eV/atom. Number 16: formation energy from raw total energies -1.89 eV per atom, electronic total energy -4.046 eV/atom. Number 17: formation energy from raw total energies -1.50 eV per atom, electronic total energy -4.089 eV/atom. Number 18: formation energy from raw total energies -1.67 eV per atom, electronic total energy -3.938 eV/atom. Number 19: formation energy from raw total energies -2.01 eV per atom, electronic total energy -4.239 eV/atom. Number 20: formation energy from raw total energies -1.97 eV per atom, electronic total energy -5.530 eV/atom.